Density functional theory data (PBE-GGA) for an optimized crystal structure of Th3Sc4Cd.

Calculated values
Total energy: -49.0 eV/f.u.
DOS(E_F): 1.192 states/eV per atom
Total magnetic moment: 0.0000 μB per atom
Energy of formation from the pure elements: -0.062 eV/atom
Crystal system: tetragonal

The structure in CIF format:
```
data_Th3Sc4Cd
_cell_length_a 3.481
_cell_length_b 3.481
_cell_length_c 17.723
_cell_angle_alpha 90.00
_cell_angle_beta 90.00
_cell_angle_gamma 90.00
_symmetry_space_group_name_H-M 'P 1'
_symmetry_Int_Tables_number 1
loop_
_symmetry_equiv_pos_as_xyz
'x,y,z'
loop_
_atom_site_label
_atom_site_type_symbol
_atom_site_fract_x
_atom_site_fract_y
_atom_site_fract_z
_atom_site_occupancy
Sc1 Sc 0.000 0.000 0.632 1
Sc2 Sc 0.000 0.000 0.894 1
Sc3 Sc 0.000 0.000 0.368 1
Sc4 Sc 0.000 0.000 0.106 1
Th1 Th 0.500 0.500 0.235 1
Th2 Th 0.500 0.500 0.500 1
Th3 Th 0.500 0.500 0.765 1
Cd1 Cd 0.500 0.500 0.000 1
```